VASP calculation (PBE) on crystalline TeBrOF2 at its relaxed geometry.

Cell and atoms, written as CIF:
```
data_TeBrOF2
_chemical_formula_sum 'Te1 Br1 O1 F2'
_symmetry_space_group_name_H-M 'P 1'
_symmetry_Int_Tables_number 1
_cell_length_a 5.080
_cell_length_b 5.080
_cell_length_c 3.647
_cell_angle_alpha 90.00
_cell_angle_beta 90.00
_cell_angle_gamma 90.00
loop_
_symmetry_equiv_pos_as_xyz
'x,y,z'
loop_
_atom_site_label
_atom_site_type_symbol
_atom_site_fract_x
_atom_site_fract_y
_atom_site_fract_z
_atom_site_occupancy
Br1 Br 0.000 0.000 0.000 1
O1 O 0.000 0.000 0.500 1
Te1 Te 0.500 0.500 0.500 1
F1 F 0.500 0.000 0.000 1
F2 F 0.000 0.500 0.000 1
```

## Properties
- Energy above the lowest structure with this stoichiometry: 906 meV/atom
- Formation energy from raw total energies: 0.0824 eV/atom